## w
Computed, not measured: Na2CoGeO4 after structural relaxation at the PBE+U level of DFT.

Results
Its crystal system is orthorhombic. The total magnetization is 3.0 μB/f.u.

The structure in CIF format:
```
data_Na2CoGeO4
_symmetry_space_group_name_H-M 'I m m a'
_symmetry_Int_Tables_number 74
_symmetry_space_group_name_Hall '-I 2b 2'
_cell_length_a 6.069
_cell_length_b 6.293
_cell_length_c 8.893
_cell_angle_alpha 90.00
_cell_angle_beta 90.00
_cell_angle_gamma 90.00
loop_
_atom_site_label
_atom_site_fract_x
_atom_site_fract_y
_atom_site_fract_z
_atom_site_occupancy
Na1 0.000 0.000 0.000 1
Na2 0.250 0.250 0.250 1
Co1 0.000 0.000 0.500 1
Ge1 0.250 0.250 0.750 1
O1 0.000 0.039 0.746 1
O2 0.230 0.250 0.535 1
```

## x
Computed, not measured: Na2CoGeO4 after structural relaxation at the PBE+U level of DFT.

Results
Its crystal system is orthorhombic. The total magnetization is 3.0 μB/f.u.

The structure in CIF format:
```
data_Na2CoGeO4
_symmetry_space_group_name_H-M 'P m n 21'
_symmetry_Int_Tables_number 31
_cell_length_a 6.464
_cell_length_b 6.277
_cell_length_c 5.445
_cell_angle_alpha 90.00
_cell_angle_beta 90.00
_cell_angle_gamma 90.00
loop_
_symmetry_equiv_pos_as_xyz
'x,y,z'
'-x+1/2,-y,z+1/2'
'-x,y,z'
'x+1/2,-y,z+1/2'
loop_
_atom_site_label
_atom_site_fract_x
_atom_site_fract_y
_atom_site_fract_z
_atom_site_occupancy
Na1 0.247 0.165 0.000 1
Co1 0.000 0.354 0.507 1
Ge1 0.000 0.655 0.012 1
O1 0.000 0.399 0.870 1
O2 0.000 0.630 0.337 1
O3 0.230 0.802 0.930 1
```

Best to worst by energy: x, w.